(1)
A relaxed TlCoTcHg crystal. Source: OQMD via LeMat-Bulk, functional PBE.

a = 6.515 Å, b = 6.515 Å, c = 6.515 Å
α = 90.00°, β = 90.00°, γ = 90.00°
Space group F-43m (No. 216)
Inequivalent atoms, fractional coordinates:
Tl 0.000 0.000 0.000 (multiplicity 4)
Co 0.250 0.250 0.250 (multiplicity 4)
Tc 0.250 0.250 0.750 (multiplicity 4)
Hg 0.000 0.000 0.500 (multiplicity 4)

## Properties
energy relative to the lowest polymorph listed for this composition	0.00	eV per formula unit
V	17.3	A^3/atom
crystal system	cubic
magnetic moment	9.73	Bohr magnetons per cell
raw total energy	-0.3141	Ry per atom

(2)
A relaxed TlCoHg crystal. Source: OQMD via LeMat-Bulk, functional PBE.

a = 6.298 Å, b = 6.298 Å, c = 6.298 Å
α = 90.00°, β = 90.00°, γ = 90.00°
Space group F-43m (No. 216)
Inequivalent atoms, fractional coordinates:
Tl 0.000 0.000 0.000 (multiplicity 4)
Co 0.250 0.250 0.750 (multiplicity 4)
Hg 0.000 0.000 0.500 (multiplicity 4)

## Properties
energy relative to the lowest polymorph listed for this composition	0.00	eV per formula unit
V	20.8	A^3/atom
crystal system	cubic
magnetic moment	2.35	Bohr magnetons per cell
raw total energy	-0.2035	Ry per atom

(3)
A relaxed TlCoHgW crystal. Source: OQMD via LeMat-Bulk, functional PBE.

a = 6.568 Å, b = 6.568 Å, c = 6.568 Å
α = 90.00°, β = 90.00°, γ = 90.00°
Space group F-43m (No. 216)
Inequivalent atoms, fractional coordinates:
Tl 0.000 0.000 0.000 (multiplicity 4)
Co 0.250 0.250 0.250 (multiplicity 4)
Hg 0.000 0.000 0.500 (multiplicity 4)
W 0.250 0.250 0.750 (multiplicity 4)

## Properties
energy relative to the lowest polymorph listed for this composition	0.00	eV per formula unit
V	17.7	A^3/atom
crystal system	cubic
magnetic moment	1.05	Bohr magnetons per cell
raw total energy	-0.3366	Ry per atom

(4)
A relaxed TlCoHgW crystal. Source: OQMD via LeMat-Bulk, functional PBE.

a = 6.573 Å, b = 6.573 Å, c = 6.573 Å
α = 90.00°, β = 90.00°, γ = 90.00°
Space group F-43m (No. 216)
Inequivalent atoms, fractional coordinates:
Tl 0.000 0.000 0.000 (multiplicity 4)
Co 0.250 0.250 0.250 (multiplicity 4)
Hg 0.250 0.250 0.750 (multiplicity 4)
W 0.000 0.000 0.500 (multiplicity 4)

## Properties
energy relative to the lowest polymorph listed for this composition	0.14	eV per formula unit
V	17.7	A^3/atom
crystal system	cubic
magnetic moment	2.49	Bohr magnetons per cell
raw total energy	-0.3340	Ry per atom